Below is an optimized crystal structure of Pm3HoSc3, with properties calculated at the PBE level.

Structure (CIF):
```
data_Pm3HoSc3
_chemical_formula_sum 'Pm6 Ho2 Sc6'
_cell_length_a 9.310
_cell_length_b 9.310
_cell_length_c 5.541
_cell_angle_alpha 90.00
_cell_angle_beta 90.00
_cell_angle_gamma 120.00
_space_group_name_H-M_alt 'P 1'
_space_group_IT_number 1
loop_
_space_group_symop_operation_xyz
'x,y,z'
loop_
_atom_site_label
_atom_site_type_symbol
_atom_site_fract_x
_atom_site_fract_y
_atom_site_fract_z
Pm1 Pm 0.049 0.800 0.250
Pm2 Pm 0.200 0.249 0.250
Pm3 Pm 0.249 0.049 0.750
Pm4 Pm 0.751 0.951 0.250
Pm5 Pm 0.800 0.751 0.750
Pm6 Pm 0.951 0.200 0.750
Ho1 Ho 0.333 0.667 0.250
Ho2 Ho 0.667 0.333 0.750
Sc1 Sc 0.097 0.612 0.750
Sc2 Sc 0.388 0.484 0.750
Sc3 Sc 0.484 0.097 0.250
Sc4 Sc 0.516 0.903 0.750
Sc5 Sc 0.612 0.516 0.250
Sc6 Sc 0.903 0.388 0.250
```

## Properties
**DFT formation energy**: 0.0475 eV/atom
**DFT total energy**: -5.356 eV per atom
**ΔE to the lowest computed polymorph**: 0.0 kJ/mol of formula units
**Magnetization**: 0.00 μB per atom
**SG**: P6_3/m, No. 176


Below is an optimized crystal structure of Pm4Ho5Sc2, with properties calculated at the PBE level.

Structure (CIF):
```
data_Pm4Ho5Sc2
_chemical_formula_sum 'Pm4 Ho5 Sc2'
_cell_length_a 11.892
_cell_length_b 11.892
_cell_length_c 8.515
_cell_angle_alpha 94.84
_cell_angle_beta 94.84
_cell_angle_gamma 16.89
_space_group_name_H-M_alt 'P 1'
_space_group_IT_number 1
loop_
_space_group_symop_operation_xyz
'x,y,z'
loop_
_atom_site_label
_atom_site_type_symbol
_atom_site_fract_x
_atom_site_fract_y
_atom_site_fract_z
Pm1 Pm 0.039 0.039 0.346
Pm2 Pm 0.276 0.276 0.175
Pm3 Pm 0.724 0.724 0.825
Pm4 Pm 0.961 0.961 0.654
Ho1 Ho 0.129 0.129 0.040
Ho2 Ho 0.183 0.183 0.475
Ho3 Ho 0.500 0.500 0.000
Ho4 Ho 0.817 0.817 0.525
Ho5 Ho 0.871 0.871 0.960
Sc1 Sc 0.412 0.412 0.303
Sc2 Sc 0.588 0.588 0.697
```

## Properties
**DFT formation energy**: 0.1147 eV/atom
**DFT total energy**: -4.845 eV per atom
**ΔE to the lowest computed polymorph**: 79.9 kJ/mol of formula units
**Magnetization**: 0.00 μB per atom
**SG**: C2/m, No. 12


Below is an optimized crystal structure of Pm4Ho7Sc, with properties calculated at the PBE level.

Structure (CIF):
```
data_Pm4Ho7Sc
_chemical_formula_sum 'Pm4 Ho7 Sc1'
_cell_length_a 5.966
_cell_length_b 6.921
_cell_length_c 9.901
_cell_angle_alpha 70.50
_cell_angle_beta 86.74
_cell_angle_gamma 89.75
_space_group_name_H-M_alt 'P 1'
_space_group_IT_number 1
loop_
_space_group_symop_operation_xyz
'x,y,z'
loop_
_atom_site_label
_atom_site_type_symbol
_atom_site_fract_x
_atom_site_fract_y
_atom_site_fract_z
Pm1 Pm 0.221 0.362 0.232
Pm2 Pm 0.229 0.912 0.230
Pm3 Pm 0.771 0.088 0.770
Pm4 Pm 0.779 0.638 0.768
Ho1 Ho 0.243 0.301 0.869
Ho2 Ho 0.247 0.967 0.580
Ho3 Ho 0.277 0.773 0.932
Ho4 Ho 0.500 0.500 0.500
Ho5 Ho 0.723 0.227 0.068
Ho6 Ho 0.753 0.033 0.420
Ho7 Ho 0.757 0.699 0.131
Sc1 Sc 0.000 0.500 0.500
```

## Properties
**DFT formation energy**: 0.1505 eV/atom
**DFT total energy**: -4.631 eV per atom
**ΔE to the lowest computed polymorph**: 0.0 kJ/mol of formula units
**Magnetization**: 0.00 μB per atom
**SG**: P-1, No. 2